# 1
# La3NiBr, relaxed, DFT PBE
# D(E_F): 4.4 states/eV/f.u.
# energy relative to the lowest polymorph listed for this composition: 0.350 eV/atom
data_La3NiBr
_chemical_formula_sum 'La3 Ni1 Br1'
_space_group_name_H-M_alt 'P m -3 m'
_space_group_IT_number 221
_space_group_name_Hall '-P 4 2 3'
_cell_length_a 5.5551
_cell_length_b 5.5551
_cell_length_c 5.5551
_cell_angle_alpha 90.00
_cell_angle_beta 90.00
_cell_angle_gamma 90.00
loop_
_atom_site_label
_atom_site_type_symbol
_atom_site_fract_x
_atom_site_fract_y
_atom_site_fract_z
_atom_site_occupancy
La1 La 0.0000 0.0000 0.5000 1
Ni1 Ni 0.0000 0.0000 0.0000 1
Br1 Br 0.5000 0.5000 0.5000 1

=====

# 2
# La2Ni2Br, relaxed, DFT PBE
# D(E_F): 4.0 states/eV/f.u.
data_La2Ni2Br
_chemical_formula_sum 'La4 Ni4 Br2'
_space_group_name_H-M_alt 'P 4/m b m'
_space_group_IT_number 127
_space_group_name_Hall '-P 4 2ab'
_cell_length_a 7.9529
_cell_length_b 7.9529
_cell_length_c 3.6380
_cell_angle_alpha 90.00
_cell_angle_beta 90.00
_cell_angle_gamma 90.00
loop_
_atom_site_label
_atom_site_type_symbol
_atom_site_fract_x
_atom_site_fract_y
_atom_site_fract_z
_atom_site_occupancy
La1 La 0.1777 0.3223 0.0000 1
Ni1 Ni 0.1092 0.6092 0.5000 1
Br1 Br 0.0000 0.0000 0.5000 1

=====

# 3
# LaNiBr3, relaxed, DFT PBE
# D(E_F): 4.9 states/eV/f.u.
# energy relative to the lowest polymorph listed for this composition: 0.000 eV/atom
data_LaNiBr3
_chemical_formula_sum 'La1 Ni1 Br3'
_space_group_name_H-M_alt 'P m -3 m'
_space_group_IT_number 221
_space_group_name_Hall '-P 4 2 3'
_cell_length_a 4.9306
_cell_length_b 4.9306
_cell_length_c 4.9306
_cell_angle_alpha 90.00
_cell_angle_beta 90.00
_cell_angle_gamma 90.00
loop_
_atom_site_label
_atom_site_type_symbol
_atom_site_fract_x
_atom_site_fract_y
_atom_site_fract_z
_atom_site_occupancy
La1 La 0.0000 0.0000 0.0000 1
Ni1 Ni 0.5000 0.5000 0.5000 1
Br1 Br 0.0000 0.5000 0.5000 1

=====

# 4
# LaNiBr, relaxed, DFT PBE
# D(E_F): 0.3 states/eV/f.u.
data_LaNiBr
_chemical_formula_sum 'La4 Ni4 Br4'
_space_group_name_H-M_alt 'F -4 3 m'
_space_group_IT_number 216
_space_group_name_Hall 'F -4 2 3'
_cell_length_a 6.8190
_cell_length_b 6.8190
_cell_length_c 6.8190
_cell_angle_alpha 90.00
_cell_angle_beta 90.00
_cell_angle_gamma 90.00
loop_
_atom_site_label
_atom_site_type_symbol
_atom_site_fract_x
_atom_site_fract_y
_atom_site_fract_z
_atom_site_occupancy
La1 La 0.0000 0.0000 0.0000 1
Ni1 Ni 0.0000 0.0000 0.5000 1
Br1 Br 0.2500 0.2500 0.7500 1

=====

# 5
# La4NiBr3, relaxed, DFT PBE
# D(E_F): 5.0 states/eV/f.u.
data_La4NiBr3
_chemical_formula_sum 'La8 Ni2 Br6'
_space_group_name_H-M_alt 'P 1 2/c 1'
_space_group_IT_number 13
_cell_length_a 7.9260
_cell_length_b 8.5734
_cell_length_c 7.2426
_cell_angle_alpha 90.00
_cell_angle_beta 106.67
_cell_angle_gamma 90.00
loop_
_space_group_symop_operation_xyz
'x,y,z'
'-x,-y,-z'
'-x,y,-z+1/2'
'x,-y,z+1/2'
loop_
_atom_site_label
_atom_site_type_symbol
_atom_site_fract_x
_atom_site_fract_y
_atom_site_fract_z
_atom_site_occupancy
La1 La 0.2042 0.1120 0.0205 1
La2 La 0.2173 0.3772 0.4783 1
Ni1 Ni 0.0000 0.1265 0.2500 1
Br1 Br 0.0000 0.3610 0.7500 1
Br2 Br 0.5000 0.1358 0.7500 1
Br3 Br 0.5000 0.3735 0.2500 1

=====

# 6
# La6NiOs2Br3, relaxed, DFT PBE
# D(E_F): 4.5 states/eV/f.u.
data_La6NiOs2Br3
_chemical_formula_sum 'La12 Ni2 Os4 Br6'
_space_group_name_H-M_alt 'C 1 2/m 1'
_space_group_IT_number 12
_cell_length_a 7.2232
_cell_length_b 12.5134
_cell_length_c 8.2922
_cell_angle_alpha 90.00
_cell_angle_beta 106.88
_cell_angle_gamma 90.00
loop_
_space_group_symop_operation_xyz
'x,y,z'
'-x,-y,-z'
'-x,y,-z'
'x,-y,z'
'x+1/2,y+1/2,z'
'-x+1/2,-y+1/2,-z'
'-x+1/2,y+1/2,-z'
'x+1/2,-y+1/2,z'
loop_
_atom_site_label
_atom_site_type_symbol
_atom_site_fract_x
_atom_site_fract_y
_atom_site_fract_z
_atom_site_occupancy
La1 La 0.2258 0.0000 0.1955 1
La2 La 0.2348 0.3303 0.1955 1
Ni1 Ni 0.0000 0.5000 0.0000 1
Os1 Os 0.0000 0.1666 0.0000 1
Br1 Br 0.0000 0.0000 0.5000 1
Br2 Br 0.0000 0.3321 0.5000 1

=====

# 7
# La8NiOs3Br3, relaxed, DFT PBE
# D(E_F): 8.6 states/eV/f.u.
data_La8NiOs3Br3
_chemical_formula_sum 'La16 Ni2 Os6 Br6'
_space_group_name_H-M_alt 'C 1 2/m 1'
_space_group_IT_number 12
_cell_length_a 14.5457
_cell_length_b 8.3914
_cell_length_c 9.2110
_cell_angle_alpha 90.00
_cell_angle_beta 121.80
_cell_angle_gamma 90.00
loop_
_space_group_symop_operation_xyz
'x,y,z'
'-x,-y,-z'
'-x,y,-z'
'x,-y,z'
'x+1/2,y+1/2,z'
'-x+1/2,-y+1/2,-z'
'-x+1/2,y+1/2,-z'
'x+1/2,-y+1/2,z'
loop_
_atom_site_label
_atom_site_type_symbol
_atom_site_fract_x
_atom_site_fract_y
_atom_site_fract_z
_atom_site_occupancy
La1 La 0.0202 0.2462 0.3072 1
La2 La 0.2330 0.0000 0.6983 1
La3 La 0.2336 0.5000 0.6935 1
Ni1 Ni 0.0000 0.5000 0.5000 1
Os1 Os 0.0000 0.0000 0.5000 1
Os2 Os 0.2500 0.2500 0.5000 1
Br1 Br 0.0000 0.5000 0.0000 1
Br2 Br 0.2500 0.2500 0.0000 1

=====

# 8
# La8NiP3Br4, relaxed, DFT PBE
# D(E_F): 10.7 states/eV/f.u.
data_La8NiP3Br4
_chemical_formula_sum 'La24 Ni3 P9 Br12'
_space_group_name_H-M_alt 'R -3 m'
_space_group_IT_number 166
_space_group_name_Hall '-R 3 2"'
_cell_length_a 8.4964
_cell_length_b 8.4964
_cell_length_c 22.1176
_cell_angle_alpha 90.00
_cell_angle_beta 90.00
_cell_angle_gamma 120.00
loop_
_atom_site_label
_atom_site_type_symbol
_atom_site_fract_x
_atom_site_fract_y
_atom_site_fract_z
_atom_site_occupancy
La1 La 0.0000 0.0000 0.2368 1
La2 La 0.0049 0.5025 0.2365 1
Ni1 Ni 0.0000 0.0000 0.5000 1
P1 P 0.0000 0.5000 0.5000 1
Br1 Br 0.0000 0.0000 0.0000 1
Br2 Br 0.0000 0.5000 0.0000 1

=====

# 9
# La6NiPd2Br3, relaxed, DFT PBE
# D(E_F): 10.6 states/eV/f.u.
data_La6NiPd2Br3
_chemical_formula_sum 'La12 Ni2 Pd4 Br6'
_space_group_name_H-M_alt 'C 1 2/m 1'
_space_group_IT_number 12
_cell_length_a 19.6411
_cell_length_b 4.3604
_cell_length_c 9.2464
_cell_angle_alpha 90.00
_cell_angle_beta 111.03
_cell_angle_gamma 90.00
loop_
_space_group_symop_operation_xyz
'x,y,z'
'-x,-y,-z'
'-x,y,-z'
'x,-y,z'
'x+1/2,y+1/2,z'
'-x+1/2,-y+1/2,-z'
'-x+1/2,y+1/2,-z'
'x+1/2,-y+1/2,z'
loop_
_atom_site_label
_atom_site_type_symbol
_atom_site_fract_x
_atom_site_fract_y
_atom_site_fract_z
_atom_site_occupancy
La1 La 0.0106 0.0000 0.2191 1
La2 La 0.1467 0.5000 0.0992 1
La3 La 0.1788 0.5000 0.5632 1
Ni1 Ni 0.0000 0.5000 0.0000 1
Pd1 Pd 0.1662 0.0000 0.3339 1
Br1 Br 0.0000 0.5000 0.5000 1
Br2 Br 0.1671 0.0000 0.8349 1

=====

# 10
# La6NiPt2Br3, relaxed, DFT PBE
# D(E_F): 9.8 states/eV/f.u.
data_La6NiPt2Br3
_chemical_formula_sum 'La12 Ni2 Pt4 Br6'
_space_group_name_H-M_alt 'C 1 2/m 1'
_space_group_IT_number 12
_cell_length_a 19.7275
_cell_length_b 4.3398
_cell_length_c 9.2510
_cell_angle_alpha 90.00
_cell_angle_beta 110.87
_cell_angle_gamma 90.00
loop_
_space_group_symop_operation_xyz
'x,y,z'
'-x,-y,-z'
'-x,y,-z'
'x,-y,z'
'x+1/2,y+1/2,z'
'-x+1/2,-y+1/2,-z'
'-x+1/2,y+1/2,-z'
'x+1/2,-y+1/2,z'
loop_
_atom_site_label
_atom_site_type_symbol
_atom_site_fract_x
_atom_site_fract_y
_atom_site_fract_z
_atom_site_occupancy
La1 La 0.0110 0.0000 0.2186 1
La2 La 0.1485 0.5000 0.1033 1
La3 La 0.1791 0.5000 0.5588 1
Ni1 Ni 0.0000 0.5000 0.0000 1
Pt1 Pt 0.1656 0.0000 0.3320 1
Br1 Br 0.0000 0.5000 0.5000 1
Br2 Br 0.1666 0.0000 0.8341 1

=====

# 11
# La6NiRh2Br3, relaxed, DFT PBE
# D(E_F): 6.6 states/eV/f.u.
data_La6NiRh2Br3
_chemical_formula_sum 'La12 Ni2 Rh4 Br6'
_space_group_name_H-M_alt 'C 1 2/m 1'
_space_group_IT_number 12
_cell_length_a 19.9638
_cell_length_b 4.1773
_cell_length_c 9.2873
_cell_angle_alpha 90.00
_cell_angle_beta 111.44
_cell_angle_gamma 90.00
loop_
_space_group_symop_operation_xyz
'x,y,z'
'-x,-y,-z'
'-x,y,-z'
'x,-y,z'
'x+1/2,y+1/2,z'
'-x+1/2,-y+1/2,-z'
'-x+1/2,y+1/2,-z'
'x+1/2,-y+1/2,z'
loop_
_atom_site_label
_atom_site_type_symbol
_atom_site_fract_x
_atom_site_fract_y
_atom_site_fract_z
_atom_site_occupancy
La1 La 0.0119 0.0000 0.2168 1
La2 La 0.1546 0.5000 0.1126 1
La3 La 0.1784 0.5000 0.5527 1
Ni1 Ni 0.0000 0.5000 0.0000 1
Rh1 Rh 0.1659 0.0000 0.3311 1
Br1 Br 0.0000 0.5000 0.5000 1
Br2 Br 0.1662 0.0000 0.8341 1

=====

# 12
# La8NiRu3Br3, relaxed, DFT PBE
# D(E_F): 9.1 states/eV/f.u.
data_La8NiRu3Br3
_chemical_formula_sum 'La16 Ni2 Ru6 Br6'
_space_group_name_H-M_alt 'C 1 2/m 1'
_space_group_IT_number 12
_cell_length_a 14.4368
_cell_length_b 8.3219
_cell_length_c 9.2340
_cell_angle_alpha 90.00
_cell_angle_beta 121.47
_cell_angle_gamma 90.00
loop_
_space_group_symop_operation_xyz
'x,y,z'
'-x,-y,-z'
'-x,y,-z'
'x,-y,z'
'x+1/2,y+1/2,z'
'-x+1/2,-y+1/2,-z'
'-x+1/2,y+1/2,-z'
'x+1/2,-y+1/2,z'
loop_
_atom_site_label
_atom_site_type_symbol
_atom_site_fract_x
_atom_site_fract_y
_atom_site_fract_z
_atom_site_occupancy
La1 La 0.0198 0.2472 0.3066 1
La2 La 0.2329 0.0000 0.6984 1
La3 La 0.2329 0.5000 0.6936 1
Ni1 Ni 0.0000 0.5000 0.5000 1
Ru1 Ru 0.0000 0.0000 0.5000 1
Ru2 Ru 0.2500 0.2500 0.5000 1
Br1 Br 0.0000 0.5000 0.0000 1
Br2 Br 0.2500 0.2500 0.0000 1

=====

The calculation returns the following M_tot values, one per record and in order: 0.000 0.000 0.000 0.000 0.000 0.000 0.029 0.000 0.000 0.000 0.000 0.035 μB/atom.
The calculation returns the following calculated total energy values, one per record and in order: -23.56 -25.83 -19.48 -13.06 -39.13 -73.46 -94.39 -90.37 -62.82 -66.69 -68.08 -89.56 eV per formula unit.
The calculation returns the following formation energy from raw total energies values, one per record and in order: -265 -549 -751 -228 -1077 -886 -699 -1390 -1006 -1187 -1084 -767 meV per atom.